No. 1
{
  "formula": "Ce8GaPd24",
  "functional": "PBEsol",
  "state": "relaxed",
  "lattice_angstrom": [[8.287, 0.000, 0.000], [0.000, 8.287, 0.000], [0.000, 0.000, 8.287]],
  "species": ["Ce", "Ce", "Ce", "Ce", "Ce", "Ce", "Ce", "Ce", "Ga", "Pd", "Pd", "Pd", "Pd", "Pd", "Pd", "Pd", "Pd", "Pd", "Pd", "Pd", "Pd", "Pd", "Pd", "Pd", "Pd", "Pd", "Pd", "Pd", "Pd", "Pd", "Pd", "Pd", "Pd"],
  "frac_coords": [[0.250, 0.250, 0.250], [0.250, 0.250, 0.750], [0.250, 0.750, 0.250], [0.250, 0.750, 0.750], [0.750, 0.250, 0.250], [0.750, 0.250, 0.750], [0.750, 0.750, 0.250], [0.750, 0.750, 0.750], [0.000, 0.000, 0.000], [0.000, 0.000, 0.297], [0.000, 0.000, 0.703], [0.000, 0.261, 0.500], [0.000, 0.297, 0.000], [0.000, 0.500, 0.261], [0.000, 0.500, 0.739], [0.000, 0.703, 0.000], [0.000, 0.739, 0.500], [0.254, 0.500, 0.500], [0.261, 0.000, 0.500], [0.261, 0.500, 0.000], [0.297, 0.000, 0.000], [0.500, 0.000, 0.261], [0.500, 0.000, 0.739], [0.500, 0.254, 0.500], [0.500, 0.261, 0.000], [0.500, 0.500, 0.254], [0.500, 0.500, 0.746], [0.500, 0.739, 0.000], [0.500, 0.746, 0.500], [0.703, 0.000, 0.000], [0.739, 0.000, 0.500], [0.739, 0.500, 0.000], [0.746, 0.500, 0.500]],
  "delta_e_f_ev_per_atom": -0.768,
  "volume_a3_per_atom": 17.24
}


No. 2
{
  "formula": "CeGa3Pd2",
  "functional": "PBEsol",
  "state": "relaxed",
  "lattice_angstrom": [[5.306, 0.000, 0.000], [-2.653, 4.595, 0.000], [0.000, 0.000, 4.241]],
  "species": ["Ce", "Ga", "Ga", "Ga", "Pd", "Pd"],
  "frac_coords": [[0.000, 0.000, 0.000], [0.000, 0.500, 0.500], [0.500, 0.000, 0.500], [0.500, 0.500, 0.500], [0.333, 0.667, 0.000], [0.667, 0.333, 0.000]],
  "delta_e_f_ev_per_atom": -0.736,
  "volume_a3_per_atom": 17.24
}


No. 3
{
  "formula": "CeGaPt4",
  "functional": "PBEsol",
  "state": "relaxed",
  "lattice_angstrom": [[5.412, 0.000, 0.000], [-2.706, 4.686, 0.000], [0.000, 0.000, 4.212]],
  "species": ["Ce", "Ga", "Pt", "Pt", "Pt", "Pt"],
  "frac_coords": [[0.000, 0.000, 0.000], [0.667, 0.333, 0.000], [0.333, 0.667, 0.000], [0.501, 0.002, 0.500], [0.501, 0.499, 0.500], [0.998, 0.499, 0.500]],
  "delta_e_f_ev_per_atom": -0.736,
  "volume_a3_per_atom": 17.80
}


Number 1: calculated total energy -6.802 eV/atom, DOS(E_F) 40.17 states/eV/cell. Number 2: calculated total energy -5.492 eV/atom, DOS(E_F) 5.07 states/eV/cell. Number 3: calculated total energy -7.034 eV/atom, DOS(E_F) 6.36 states/eV/cell.